# 1
Entry from the Alexandria database: a geometry-optimized Th2Zn5Au structure (PBE).

Structure (POSCAR):
```
Th2Zn5Au
1.0
2.173 -8.315 0.000
2.173 8.315 0.000
0.000 0.000 8.992
Th Zn Au
4 10 2
Direct
0.000 0.000 0.000
0.000 0.000 0.500
0.204 0.796 0.750
0.796 0.204 0.250
0.185 0.815 0.108
0.185 0.815 0.392
0.347 0.653 0.020
0.347 0.653 0.480
0.399 0.601 0.750
0.601 0.399 0.250
0.653 0.347 0.520
0.653 0.347 0.980
0.815 0.185 0.608
0.815 0.185 0.892
0.446 0.554 0.250
0.554 0.446 0.750
```

Values from the calculation:
energy of formation = -35 kJ per mole of atoms
DOS(E_F) = 11.36 states/eV per cell
magnetization = 0.0 μB/cell

# 2
Entry from the Alexandria database: a geometry-optimized ThZn3Au structure (PBE).

Structure (POSCAR):
```
ThZn3Au
1.0
3.004 -3.007 0.000
3.004 3.007 0.000
-2.982 0.000 5.487
Th Zn Au
1 3 1
Direct
0.000 0.000 0.000
0.238 0.741 0.480
0.615 0.615 0.231
0.741 0.238 0.480
0.384 0.384 0.769
```

Values from the calculation:
energy of formation = -35 kJ per mole of atoms
DOS(E_F) = 4.09 states/eV per cell
relative energy among the computed polymorphs = 0 kJ/mol of formula units
magnetization = 0.0 μB/cell

# 3
Entry from the Alexandria database: a geometry-optimized ThZn3Au structure (PBE).

Structure (POSCAR):
```
ThZn3Au
1.0
8.493 0.000 0.000
0.000 4.466 0.000
0.000 0.000 10.521
Th Zn Au
4 12 4
Direct
0.200 0.250 0.002
0.300 0.750 0.502
0.700 0.250 0.498
0.800 0.750 0.998
0.093 0.250 0.628
0.105 0.750 0.806
0.112 0.750 0.198
0.388 0.250 0.698
0.395 0.250 0.306
0.407 0.750 0.128
0.593 0.250 0.872
0.605 0.750 0.694
0.612 0.750 0.302
0.888 0.250 0.802
0.895 0.250 0.194
0.907 0.750 0.372
0.098 0.250 0.372
0.402 0.750 0.872
0.598 0.250 0.128
0.902 0.750 0.628
```

Values from the calculation:
energy of formation = -30 kJ per mole of atoms
DOS(E_F) = 11.12 states/eV per cell
relative energy among the computed polymorphs = 25 kJ/mol of formula units
magnetization = 0.0 μB/cell

# 4
Entry from the Alexandria database: a geometry-optimized Th3Zn7Au4 structure (PBE).

Structure (POSCAR):
```
Th3Zn7Au4
1.0
8.040 -2.285 0.000
8.040 2.285 0.000
-5.094 0.000 7.586
Th Zn Au
3 7 4
Direct
0.000 0.000 0.000
0.296 0.296 0.297
0.704 0.704 0.703
0.000 0.000 0.500
0.140 0.140 0.428
0.337 0.337 0.985
0.498 0.498 0.319
0.502 0.502 0.681
0.663 0.663 0.015
0.860 0.860 0.572
0.132 0.132 0.851
0.348 0.348 0.711
0.652 0.652 0.289
0.868 0.868 0.149
```

Values from the calculation:
energy of formation = -44 kJ per mole of atoms
DOS(E_F) = 8.07 states/eV per cell
magnetization = 0.0 μB/cell

# 5
Entry from the Alexandria database: a geometry-optimized ThZn2Au10 structure (PBE).

Structure (POSCAR):
```
ThZn2Au10
1.0
0.000 6.703 6.705
2.760 0.000 6.705
2.760 6.703 0.000
Th Zn Au
1 2 10
Direct
0.000 0.000 0.000
0.000 0.000 0.500
0.500 0.500 0.000
0.000 0.500 0.000
0.013 0.666 0.334
0.286 0.507 0.493
0.334 0.987 0.013
0.493 0.714 0.286
0.500 0.000 0.500
0.507 0.286 0.714
0.666 0.013 0.987
0.714 0.493 0.507
0.987 0.334 0.666
```

Values from the calculation:
energy of formation = -24 kJ per mole of atoms
DOS(E_F) = 5.21 states/eV per cell
magnetization = 0.0 μB/cell

# 6
Entry from the Alexandria database: a geometry-optimized Th2Zn15Au2 structure (PBE).

Structure (POSCAR):
```
Th2Zn15Au2
1.0
4.553 2.629 4.462
-4.553 2.629 4.462
0.000 -5.258 4.462
Th Zn Au
2 15 2
Direct
0.159 0.159 0.159
0.841 0.841 0.841
0.000 0.500 0.500
0.148 0.148 0.662
0.148 0.662 0.148
0.209 0.500 0.791
0.209 0.791 0.500
0.338 0.852 0.852
0.500 0.000 0.500
0.500 0.209 0.791
0.500 0.500 0.000
0.500 0.791 0.209
0.662 0.148 0.148
0.791 0.209 0.500
0.791 0.500 0.209
0.852 0.338 0.852
0.852 0.852 0.338
0.390 0.390 0.390
0.610 0.610 0.610
```

Values from the calculation:
energy of formation = -26 kJ per mole of atoms
DOS(E_F) = 4.01 states/eV per cell
magnetization = 0.0 μB/cell